Below is crystalline CrBr5 at its relaxed geometry, with properties calculated at the GGA-PBE level.

Summary:
Its uncorrected formation energy is 0.13 eV/atom. The calculation puts the energy at -2.8661 eV per atom. Its magnetization is 3.86 μB per formula unit.

Cell: 3.1552 3.1552 19.0157 Å, 90.00 90.00 90.00°
Space group P4/mmm (No. 123)
One atom of each set of equivalent atoms:
Cr  0.0000  0.0000  0.0000 [1 per cell]
Br  0.0000  0.0000  0.2774 [2 per cell]
Br  0.5000  0.5000  0.0864 [2 per cell]
Br  0.5000  0.5000  0.5000 [1 per cell]